Entry 1:
DFT (PBEsol) results for a relaxed structure of LiHgIr2.

Summary:
ΔH_f (0 K)   0.9 eV/f.u.

a b c (Å): 4.0614 4.6092 4.0614
angles (deg): 63.86 90.00 116.14
With the nearest neighbours (Å) after each atom.
Positions (direct):
Hg (0.7500, 0.5000, 0.7500)  4 Li 2.72, 8 Ir 2.72-2.87
Ir (0.0000, 0.0000, 0.0000)  4 Hg 2.72, 4 Ir 2.72, 4 Li 2.87
Ir (0.2500, 0.5000, 0.2500)  4 Ir 2.72, 4 Li 2.72, 4 Hg 2.87
Li (0.5000, 0.0000, 0.5000)  8 Ir 2.72-2.87, 4 Hg 2.72

Entry 2:
DFT (PBEsol) results for a relaxed structure of YAgAs2.

Summary:
ΔH_f (0 K)   -1.8 eV/f.u.

a b c (Å): 4.2430 4.2430 5.9408
angles (deg): 69.08 69.08 60.00
With the nearest neighbours (Å) after each atom.
Positions (direct):
Y (0.5000, 0.5000, 0.5000)  6 As 2.85
As (0.2567, 0.2567, 0.2298)  3 Ag 2.75, 3 Y 2.85
As (0.7433, 0.7433, 0.7702)  3 Ag 2.75, 3 Y 2.85
Ag (0.0000, 0.0000, 0.0000)  6 As 2.75

Entry 3:
DFT (PBEsol) results for a relaxed structure of YCrCl2.

Summary:
Uncorrected formation energy   -0.75 eV/atom

a b c (Å): 3.5617 3.5617 9.0341
angles (deg): 78.63 78.63 60.00
With the nearest neighbours (Å) after each atom.
Positions (direct):
Y (0.2505, 0.2505, 0.2485)  3 Cl 2.70
Cr (0.4937, 0.4937, 0.5190)  3 Cl 2.51
Cl (0.9832, 0.9832, 0.0503)  3 Y 2.70
Cl (0.7726, 0.7726, 0.6821)  3 Cr 2.51

Number 1: E -5.312 eV/atom, total moment 0.00 Bohr magnetons per cell, mass density 16.5 g/cm³. Number 2: E -5.540 eV/atom, total moment 0.00 Bohr magnetons per cell, mass density 6.8 g/cm³. Number 3: E -6.019 eV/atom, total moment 3.45 Bohr magnetons per cell, mass density 3.6 g/cm³.